Density functional theory data (PBE) for a relaxed Na2CeCrN4 crystal.

- E_tot: -112.99 eV for the cell shown
- E_form (uncorrected): -0.625 eV/atom
- Volume: 15.318 Å³/atom

abc: 6.651 7.076 5.208
angles: 90.00 90.00 90.00
Space group Pmn2_1 (No. 31)
Unique sites:
Na1 0.238 0.134 0.000 [4 per cell]
Ce1 0.000 0.392 0.512 [2 per cell]
Cr1 0.000 0.684 0.954 [2 per cell]
N1 0.000 0.441 0.015 [2 per cell]
N2 0.000 0.683 0.625 [2 per cell]
N3 0.228 0.795 0.046 [4 per cell]